VASP calculation (PBE) on a relaxed structure of Ce6PmTh8.

The calculation puts the formation energy at 0.274 eV/atom. The total energy is -6.3734 eV/atom.

The space group is P-3 (No. 147) and the conventional cell measures 9.3679, 9.3679 and 6.4246 Å, with angles of 90.00, 90.00 and 120.00 degrees. The asymmetric unit holds Ce at (0.0663, 0.6458, 0.1248), Pm at (0.0000, 0.0000, 0.0000), Th at (0.0058, 0.7074, 0.6337) and Th at (0.3333, 0.6667, 0.6054).